# Er3Si4Pt7 (PBE-GGA, relaxed)
# formation energy from raw total energies: -1.119 eV/atom
data_Er3Si4Pt7
_cell_length_a 15.422
_cell_length_b 4.015
_cell_length_c 9.383
_cell_angle_alpha 90.00
_cell_angle_beta 124.81
_cell_angle_gamma 90.00
_symmetry_space_group_name_H-M 'C 1 2/m 1'
_symmetry_Int_Tables_number 12
_symmetry_space_group_name_Hall '-C 2y'
loop_
_atom_site_label
_atom_site_type_symbol
_atom_site_fract_x
_atom_site_fract_y
_atom_site_fract_z
_atom_site_occupancy
Er1 Er 0.000 0.000 0.000 1
Er2 Er 0.172 0.500 0.668 1
Si1 Si 0.111 0.000 0.825 1
Si2 Si 0.169 0.500 0.271 1
Pt1 Pt 0.000 0.000 0.500 1
Pt2 Pt 0.008 0.500 0.266 1
Pt3 Pt 0.169 0.000 0.419 1
Pt4 Pt 0.196 0.500 0.043 1

=====

# ErSiPt6 (PBE-GGA, relaxed)
# formation energy from raw total energies: -0.543 eV/atom
data_ErSiPt6
_cell_length_a 5.4185
_cell_length_b 5.4185
_cell_length_c 18.7257
_cell_angle_alpha 90.00
_cell_angle_beta 90.00
_cell_angle_gamma 120.00
_symmetry_space_group_name_H-M 'R -3 m'
_symmetry_Int_Tables_number 166
_symmetry_space_group_name_Hall '-R 3 2"'
loop_
_atom_site_label
_atom_site_type_symbol
_atom_site_fract_x
_atom_site_fract_y
_atom_site_fract_z
_atom_site_occupancy
Er1 Er 0.0000 0.0000 0.0000 1
Si1 Si 0.0000 0.0000 0.5000 1
Pt1 Pt 0.0079 0.5040 0.9253 1